# 1
# Ag2GeBiS4

An optimized crystal structure of Ag2GeBiS4 (PBE-GGA, Alexandria).

Cell lengths 8.9017, 6.6368, 6.8551 Å; angles 90.00, 90.00, 90.00 degrees
Last column: nearest neighbours and their distance in Å.
Fractional positions:
Ag (0.2436, 0.1807, 0.0000)  4 S 2.55-2.61
Ag (0.2564, 0.8193, 0.5000)  4 S 2.55-2.61
Ag (0.7436, 0.8193, 0.5000)  4 S 2.55-2.61
Ag (0.7564, 0.1807, 0.0000)  4 S 2.55-2.61
Ge (0.0000, 0.3300, 0.5120)  4 S 2.28-2.35
Ge (0.5000, 0.6700, 0.0120)  4 S 2.28-2.35
Bi (0.0000, 0.6771, 0.0157)  4 S 2.65-2.90
Bi (0.5000, 0.3229, 0.5157)  4 S 2.65-2.90
S (0.0000, 0.3108, 0.1693)  1 Ge 2.35, 2 Ag 2.61
S (0.0000, 0.6637, 0.5929)  1 Ge 2.28
S (0.2184, 0.1863, 0.6293)  1 Ge 2.31, 1 Ag 2.55
S (0.2816, 0.8137, 0.1293)  1 Ge 2.31, 1 Ag 2.55
S (0.5000, 0.3363, 0.0929)  1 Ge 2.28
S (0.5000, 0.6892, 0.6693)  1 Ge 2.35, 2 Ag 2.61
S (0.7184, 0.8137, 0.1293)  1 Ge 2.31, 1 Ag 2.55
S (0.7816, 0.1863, 0.6293)  1 Ge 2.31, 1 Ag 2.55

* formation energy without anion corrections: -0.164 eV/atom

---

# 2
# Cs3Th2PaAs6

An optimized crystal structure of Cs3Th2PaAs6 (PBE-GGA, Alexandria).

Cell lengths 7.6578, 7.6578, 8.7804 Å; angles 98.36, 98.36, 119.99 degrees
Last column: nearest neighbours and their distance in Å.
Fractional positions:
Cs (0.0000, 0.0000, 0.0000)  6 As 3.71-3.81
Cs (0.3313, 0.6687, 0.0000)  6 As 3.71-3.79
Cs (0.6687, 0.3313, 0.0000)  6 As 3.71-3.79
Th (0.1664, 0.8336, 0.5000)  6 As 2.98
Th (0.8336, 0.1664, 0.5000)  6 As 2.98
Pa (0.5000, 0.5000, 0.5000)  6 As 2.86
As (0.1208, 0.4422, 0.3260)  1 Pa 2.86, 2 Th 2.98
As (0.2373, 0.2373, 0.6747)  1 Pa 2.86, 2 Th 2.98
As (0.4422, 0.1208, 0.3260)  1 Pa 2.86, 2 Th 2.98
As (0.5578, 0.8792, 0.6740)  1 Pa 2.86, 2 Th 2.98
As (0.7627, 0.7627, 0.3253)  1 Pa 2.86, 2 Th 2.98
As (0.8792, 0.5578, 0.6740)  1 Pa 2.86, 2 Th 2.98

* E_form: -0.775 eV per atom

---

# 3
# Li2YAg2Pb2

An optimized crystal structure of Li2YAg2Pb2 (PBE-GGA, Alexandria).

Cell lengths 8.3351, 8.3351, 8.3351 Å; angles 33.20, 33.20, 33.20 degrees
Last column: nearest neighbours and their distance in Å.
Fractional positions:
Li (0.1401, 0.1401, 0.1401)  3 Ag 2.87, 4 Pb 2.92-3.22, 3 Li 3.02
Li (0.8599, 0.8599, 0.8599)  3 Ag 2.87, 4 Pb 2.92-3.22, 3 Li 3.02
Y (0.0000, 0.0000, 0.0000)  6 Pb 3.20, 2 Li 3.31
Ag (0.4381, 0.4381, 0.4381)  3 Pb 2.87, 3 Li 2.87, 1 Ag 2.92
Ag (0.5619, 0.5619, 0.5619)  3 Pb 2.87, 3 Li 2.87, 1 Ag 2.92
Pb (0.2638, 0.2638, 0.2638)  3 Ag 2.87, 4 Li 2.92-3.22, 3 Y 3.20
Pb (0.7362, 0.7362, 0.7362)  3 Ag 2.87, 4 Li 2.92-3.22, 3 Y 3.20

* E_form: -0.267 eV per atom

---

# 4
# Ca2TlCl

An optimized crystal structure of Ca2TlCl (PBE-GGA, Alexandria).

Cell lengths 3.6890, 3.9524, 8.2863 Å; angles 90.00, 90.00, 90.00 degrees
Last column: nearest neighbours and their distance in Å.
Fractional positions:
Ca (0.0000, 0.0000, 0.2326)  2 Cl 2.88
Ca (0.0000, 0.0000, 0.7674)  2 Cl 2.88
Tl (0.5000, 0.5000, 0.0000)  8 Ca 3.32, 2 Tl 3.69
Cl (0.5000, 0.0000, 0.5000)  4 Ca 2.88

* formation energy without anion corrections: -1.055 eV/atom
* offset from the most stable computed form: 0.0 meV/atom

---

# 5
# Mn2AlCo

An optimized crystal structure of Mn2AlCo (PBE-GGA, Alexandria).

Cell lengths 2.6108, 3.9741, 4.9338 Å; angles 90.00, 103.33, 90.00 degrees
Last column: nearest neighbours and their distance in Å.
Fractional positions:
Mn (0.0000, 0.0000, 0.0000)  2 Co 2.44-2.58, 2 Al 2.58, 4 Mn 2.59-2.61
Mn (0.2872, 0.5000, 0.7335)  2 Co 2.39, 2 Al 2.53, 4 Mn 2.59-2.61
Al (0.6801, 0.5000, 0.2526)  2 Co 2.48, 6 Mn 2.53-2.76, 2 Al 2.61
Co (0.5012, 0.0000, 0.5157)  4 Mn 2.39-2.58, 2 Al 2.48, 2 Co 2.61

* offset from the most stable computed form: 233.3 meV/atom
* E_form: -0.032 eV per atom

---

# 6
# TbScAlCu

An optimized crystal structure of TbScAlCu (PBE-GGA, Alexandria).

Cell lengths 6.9348, 6.9348, 6.9348 Å; angles 90.00, 90.00, 90.00 degrees
Last column: nearest neighbours and their distance in Å.
Fractional positions:
Tb (0.0000, 0.0000, 0.0000)  4 Cu 3.00, 4 Al 3.00
Tb (0.0000, 0.5000, 0.5000)  4 Cu 3.00, 4 Al 3.00
Tb (0.5000, 0.0000, 0.5000)  4 Cu 3.00, 4 Al 3.00
Tb (0.5000, 0.5000, 0.0000)  4 Cu 3.00, 4 Al 3.00
Sc (0.0000, 0.0000, 0.5000)  4 Al 3.00, 4 Cu 3.00
Sc (0.0000, 0.5000, 0.0000)  4 Al 3.00, 4 Cu 3.00
Sc (0.5000, 0.0000, 0.0000)  4 Al 3.00, 4 Cu 3.00
Sc (0.5000, 0.5000, 0.5000)  4 Al 3.00, 4 Cu 3.00
Al (0.2500, 0.2500, 0.2500)  4 Tb 3.00, 4 Sc 3.00
Al (0.2500, 0.7500, 0.7500)  4 Tb 3.00, 4 Sc 3.00
Al (0.7500, 0.2500, 0.7500)  4 Tb 3.00, 4 Sc 3.00
Al (0.7500, 0.7500, 0.2500)  4 Tb 3.00, 4 Sc 3.00
Cu (0.2500, 0.2500, 0.7500)  4 Tb 3.00, 4 Sc 3.00
Cu (0.2500, 0.7500, 0.2500)  4 Tb 3.00, 4 Sc 3.00
Cu (0.7500, 0.2500, 0.2500)  4 Tb 3.00, 4 Sc 3.00
Cu (0.7500, 0.7500, 0.7500)  4 Tb 3.00, 4 Sc 3.00

* E_form: -0.293 eV per atom

---

# 7
# AcEuHo2

An optimized crystal structure of AcEuHo2 (PBE-GGA, Alexandria).

Cell lengths 5.2660, 5.2660, 5.2301 Å; angles 90.00, 90.00, 90.00 degrees
Last column: nearest neighbours and their distance in Å.
Fractional positions:
Ac (0.0000, 0.0000, 0.0000)  8 Ho 3.71, 4 Eu 3.72
Eu (0.5000, 0.5000, 0.0000)  8 Ho 3.71, 4 Ac 3.72
Ho (0.0000, 0.5000, 0.5000)  4 Ac 3.71, 4 Eu 3.71, 4 Ho 3.72
Ho (0.5000, 0.0000, 0.5000)  4 Ac 3.71, 4 Eu 3.71, 4 Ho 3.72

* offset from the most stable computed form: 9.4 meV/atom
* E_form: 0.108 eV per atom

---

# 8
# PrEr12Sc6

An optimized crystal structure of PrEr12Sc6 (PBE-GGA, Alexandria).

Cell lengths 8.9634, 8.9634, 8.9634 Å; angles 107.20, 107.20, 107.20 degrees
Last column: nearest neighbours and their distance in Å.
Fractional positions:
Pr (0.0000, 0.0000, 0.0000)  6 Er 3.55
Er (0.1127, 0.5000, 0.8873)  4 Sc 3.16-3.28, 3 Er 3.25-3.49
Er (0.1127, 0.8873, 0.5000)  4 Sc 3.16-3.28, 3 Er 3.25-3.49
Er (0.1510, 0.3782, 0.3782)  1 Sc 2.96, 2 Er 3.28
Er (0.3782, 0.1510, 0.3782)  1 Sc 2.96, 2 Er 3.28
Er (0.3782, 0.3782, 0.1510)  1 Sc 2.96, 2 Er 3.28
Er (0.5000, 0.1127, 0.8873)  4 Sc 3.16-3.28, 3 Er 3.25-3.49
Er (0.5000, 0.8873, 0.1127)  4 Sc 3.16-3.28, 3 Er 3.25-3.49
Er (0.6218, 0.6218, 0.8490)  1 Sc 2.96, 2 Er 3.28
Er (0.6218, 0.8490, 0.6218)  1 Sc 2.96, 2 Er 3.28
Er (0.8490, 0.6218, 0.6218)  1 Sc 2.96, 2 Er 3.28
Er (0.8873, 0.1127, 0.5000)  4 Sc 3.16-3.28, 3 Er 3.25-3.49
Er (0.8873, 0.5000, 0.1127)  4 Sc 3.16-3.28, 3 Er 3.25-3.49
Sc (0.2766, 0.6939, 0.6939)  5 Er 2.96-3.28
Sc (0.3061, 0.3061, 0.7234)  5 Er 2.96-3.28
Sc (0.3061, 0.7234, 0.3061)  5 Er 2.96-3.28
Sc (0.6939, 0.2766, 0.6939)  5 Er 2.96-3.28
Sc (0.6939, 0.6939, 0.2766)  5 Er 2.96-3.28
Sc (0.7234, 0.3061, 0.3061)  5 Er 2.96-3.28

* offset from the most stable computed form: 172.9 meV/atom
* E_form: 0.422 eV per atom